[1]
Compound: PmEuCdRh
Source: the Alexandria database
Functional: PBE
Structure: relaxed

Computed properties:
As for the calculated formation energy: -0.366 eV/atom.

Unit cell a=7.3540 b=7.3540 c=7.3540 alpha=90.00 beta=90.00 gamma=90.00
Closest atoms and distances in Å follow each position.
Space group F-43m (No. 216)
Unique sites:
1 Pm 0.0000 0.0000 0.0000 x4  4 Cd 3.18, 4 Rh 3.18
2 Eu 0.0000 0.0000 0.5000 x4  4 Cd 3.18, 4 Rh 3.18
3 Cd 0.2500 0.2500 0.2500 x4  4 Pm 3.18, 4 Eu 3.18
4 Rh 0.2500 0.2500 0.7500 x4  4 Pm 3.18, 4 Eu 3.18

---

[2]
Compound: SrAcBr2O
Source: the Alexandria database
Functional: PBE
Structure: relaxed

Computed properties:
The formation energy without anion corrections comes out at -1146.5 kJ/mol of formula units.

Unit cell a=4.2884 b=4.2884 c=15.9044 alpha=90.00 beta=90.00 gamma=90.00
Closest atoms and distances in Å follow each position.
Space group P4/nmm (No. 129, origin choice 2)
Unique sites:
1 Sr 0.2500 0.2500 0.1075 x2  5 Br 3.28-3.43
2 Ac 0.2500 0.2500 0.5795 x2  4 O 2.49
3 Br 0.2500 0.2500 0.3231 x2  4 Ac 3.41, 1 Sr 3.43, 4 O 3.54, 4 Br 3.73
4 Br 0.2500 0.2500 0.8134 x2  4 Sr 3.28
5 O 0.2500 0.7500 0.5000 x2  4 Ac 2.49

---

[3]
Compound: Y4AgBr
Source: the Alexandria database
Functional: PBE
Structure: relaxed

Computed properties:
The formation energy without anion corrections comes out at 222.8 kJ/mol of formula units.

Unit cell a=9.1347 b=9.1347 c=9.1347 alpha=90.00 beta=90.00 gamma=90.00
Closest atoms and distances in Å follow each position.
Space group F-43m (No. 216)
Unique sites:
1 Y 0.1239 0.1239 0.1239 x16  6 Y 3.20-3.26
2 Ag 0.2500 0.2500 0.7500 x4  12 Y 3.78, 4 Br 3.96
3 Br 0.0000 0.0000 0.5000 x4  12 Y 3.79, 4 Ag 3.96

---

[4]
Compound: AgSn2P
Source: the Alexandria database
Functional: PBE
Structure: relaxed

Computed properties:
As for the calculated formation energy: 0.213 eV/atom.

Unit cell a=3.6894 b=3.6894 c=26.3839 alpha=90.00 beta=90.00 gamma=120.00
Closest atoms and distances in Å follow each position.
Space group R-3m (No. 166, hexagonal axes)
Unique sites:
1 Ag 0.0000 0.0000 0.0000 x3  2 Sn 2.71
2 Sn 0.0000 0.0000 0.1027 x6  1 Ag 2.71, 3 P 2.72
3 P 0.0000 0.0000 0.5000 x3  6 Sn 2.72

---

[5]
Compound: CdIn6Sn12
Source: the Alexandria database
Functional: PBE
Structure: relaxed

Computed properties:
As for the calculated formation energy: 0.092 eV/atom.

Unit cell a=11.9387 b=11.9387 c=13.0767 alpha=90.00 beta=90.00 gamma=120.00
Closest atoms and distances in Å follow each position.
Space group R-3 (No. 148, hexagonal axes)
Unique sites:
1 Cd 0.0000 0.0000 0.0000 x3  6 Sn 3.07
2 In 0.0192 0.4306 0.7267 x18  7 Sn 3.18-3.39, 1 Cd 3.47
3 Sn 0.0400 0.1956 0.8314 x18  1 Cd 3.07, 2 Sn 3.08-3.16, 4 In 3.20-3.37
4 Sn 0.0567 0.8765 0.3901 x18  3 Sn 3.08-3.30, 3 In 3.18-3.39

---

[6]
Compound: LiGd2Ga
Source: the Alexandria database
Functional: PBE
Structure: relaxed

Computed properties:
As for the calculated formation energy: -0.022 eV/atom.

Unit cell a=3.5060 b=3.5060 c=32.8115 alpha=90.00 beta=90.00 gamma=120.00
Closest atoms and distances in Å follow each position.
Space group R-3m (No. 166, hexagonal axes)
Unique sites:
1 Li 0.0000 0.0000 0.0000 x3  2 Gd 3.27, 6 Li 3.51
2 Gd 0.0000 0.0000 0.0997 x6  3 Ga 2.99, 1 Li 3.27
3 Ga 0.0000 0.0000 0.5000 x3  6 Gd 2.99

---

[7]
Compound: Ti2CoIr2
Source: the Alexandria database
Functional: PBE
Structure: relaxed

Computed properties:
As for the calculated formation energy: -0.358 eV/atom. The polymorph energy (0 for the lowest one) comes out at 0.000 eV per formula unit.

Unit cell a=7.2084 b=7.2084 c=2.9468 alpha=90.00 beta=90.00 gamma=90.00
Closest atoms and distances in Å follow each position.
Space group P4/mbm (No. 127)
Unique sites:
1 Ti 0.1625 0.3375 0.0000 x4  6 Ir 2.51-2.63
2 Co 0.0000 0.0000 0.5000 x2  4 Ir 2.79, 2 Co 2.95, 8 Ti 3.08
3 Ir 0.1384 0.6384 0.5000 x4  6 Ti 2.51-2.63, 2 Co 2.79

---

[8]
Compound: CrCdAg2Sb
Source: the Alexandria database
Functional: PBE
Structure: relaxed

Computed properties:
The formation energy without anion corrections comes out at 411.0 kJ/mol of formula units.

Unit cell a=5.1906 b=5.1906 c=5.7582 alpha=90.00 beta=90.00 gamma=90.00
Closest atoms and distances in Å follow each position.
Space group P4/mmm (No. 123)
Unique sites:
1 Cr 0.0000 0.0000 0.0000 x1  4 Cd 3.67, 8 Ag 3.88
2 Cd 0.5000 0.5000 0.0000 x1  2 Sb 2.88
3 Ag 0.0000 0.5000 0.5000 x2  2 Sb 2.60
4 Sb 0.5000 0.5000 0.5000 x1  4 Ag 2.60, 2 Cd 2.88

---

[9]
Compound: Np2Ag2O7
Source: the Alexandria database
Functional: PBE
Structure: relaxed

Computed properties:
The formation energy without anion corrections comes out at -2058.3 kJ/mol of formula units.

Unit cell a=6.8795 b=12.4916 c=4.2002 alpha=90.00 beta=93.37 gamma=90.00
Closest atoms and distances in Å follow each position.
Space group C2/m (No. 12)
Unique sites:
1 Np 0.2154 0.0000 0.2750 x4  3 O 1.90-2.12
2 Ag 0.0000 0.2771 0.0000 x4  4 O 2.36-2.41
3 O 0.0000 0.5000 0.5000 x2  2 Np 2.12
4 O 0.1136 0.0000 0.7585 x4  3 Np 2.19-2.26
5 O 0.2278 0.1517 0.2457 x8  1 Np 1.90

---

[10]
Compound: CaLa2Ru
Source: the Alexandria database
Functional: PBE
Structure: relaxed

Computed properties:
As for the calculated formation energy: 0.153 eV/atom. The polymorph energy (0 for the lowest one) comes out at 1.438 eV per formula unit.

Unit cell a=7.5827 b=7.5827 c=7.5827 alpha=90.00 beta=90.00 gamma=90.00
Closest atoms and distances in Å follow each position.
Space group Fm-3m (No. 225)
Unique sites:
1 Ca 0.0000 0.0000 0.0000 x4  8 La 3.28
2 La 0.2500 0.2500 0.2500 x8  4 Ru 3.28, 4 Ca 3.28
3 Ru 0.0000 0.0000 0.5000 x4  8 La 3.28

---

[11]
Compound: Be2Se3
Source: the Alexandria database
Functional: PBE
Structure: relaxed

Computed properties:
The formation energy without anion corrections comes out at 117.9 kJ/mol of formula units. The polymorph energy (0 for the lowest one) comes out at 3.184 eV per formula unit.

Unit cell a=4.3730 b=4.3730 c=6.3868 alpha=90.00 beta=90.00 gamma=120.00
Closest atoms and distances in Å follow each position.
Space group P-3m1 (No. 164)
Unique sites:
1 Be 0.3333 0.6667 0.3690 x2  1 Se 2.28
2 Se 0.0000 0.0000 0.5000 x1  6 Be 2.66, 6 Se 2.91
3 Se 0.3333 0.6667 0.7259 x2  1 Be 2.28

---

[12]
Compound: KCeF6
Source: the Alexandria database
Functional: PBE
Structure: relaxed

Computed properties:
The formation energy without anion corrections comes out at -2235.4 kJ/mol of formula units.

Unit cell a=10.0761 b=10.0761 c=7.3649 alpha=90.00 beta=90.00 gamma=120.00
Closest atoms and distances in Å follow each position.
Space group R-3m (No. 166, hexagonal axes)
Unique sites:
1 K 0.0000 0.0000 0.0000 x3  6 F 2.76
2 Ce 0.0000 0.0000 0.5000 x3  6 F 2.14
3 F 0.0914 0.1829 0.3063 x18  1 Ce 2.14

---

Raw total energy? In order: -24.8, -26.0, -28.1, -15.4, -63.6, -33.2, -42.4, -16.1, -87.6, -20.5, -16.7, -41.4 eV per formula unit.